No. 1
Computed, not measured: crystalline Na3OsC at its relaxed geometry at the GGA-PBE level of DFT.

Summary:
E_form   2.3980 eV/atom
Excess energy over the best structure of this formula in the dataset   513 meV per atom
Space-group type   Pm-3m (221)

Cell lengths 5.705, 5.705, 5.705 Å; angles 90.00, 90.00, 90.00 degrees
Site moments in Bohr magnetons follow the coordinates.
Element x y z (fractional)
Na1 0.500 0.000 0.000  0.00
C1 0.500 0.500 0.500  1.07
Na2 0.000 0.500 0.000  0.00
Na3 0.000 0.000 0.500  -0.01
Os1 0.000 0.000 0.000  1.90

No. 2
Computed, not measured: crystalline NaOs2C at its relaxed geometry at the GGA-PBE level of DFT.

Summary:
E_form   1.2674 eV/atom
Space-group type   I-42d (122)

Cell lengths 4.935, 4.935, 7.300 Å; angles 70.25, 70.25, 90.00 degrees
Element x y z (fractional)
Na1 0.000 0.000 0.000
Os1 0.875 0.634 0.750
Os2 0.375 0.616 0.750
Os3 0.384 0.125 0.250
Os4 0.366 0.625 0.250
C1 0.250 0.750 0.500
Na2 0.750 0.250 0.500
C2 0.500 0.500 0.000

No. 3
Computed, not measured: crystalline Na3OsC at its relaxed geometry at the GGA-PBE level of DFT.

Summary:
E_form   1.8849 eV/atom
Excess energy over the best structure of this formula in the dataset   0 meV per atom
Space-group type   Pm-3m (221)

Cell lengths 4.863, 4.863, 4.863 Å; angles 90.00, 90.00, 90.00 degrees
Site moments in Bohr magnetons follow the coordinates.
Element x y z (fractional)
Na1 0.000 0.000 0.500  0.02
Na2 0.500 0.000 0.000  0.01
C1 0.000 0.000 0.000  0.92
Na3 0.000 0.500 0.000  0.01
Os1 0.500 0.500 0.500  2.71